# Ce3HfSb4

Ce3HfSb4 after structural relaxation (PBE-GGA, the Alexandria database). Values from VASP.

Geometry as Quantum ESPRESSO input:
```
&SYSTEM
  ibrav = 0, nat = 16, ntyp = 3
/
ATOMIC_SPECIES
Sb 121.76 Sb.upf
Hf 178.49 Hf.upf
Ce 140.12 Ce.upf
CELL_PARAMETERS angstrom
-5.538 -3.361 3.962
6.105 0.981 4.467
-3.046 7.885 2.431
ATOMIC_POSITIONS angstrom
Sb -5.952 1.908 6.540
Sb -4.051 5.528 5.161
Sb -2.365 1.470 3.905
Sb -4.474 -2.227 5.269
Sb 1.995 7.731 5.591
Sb -0.114 4.035 6.955
Sb 1.573 -0.024 5.699
Sb 3.474 3.597 4.320
Hf -6.815 4.370 5.096
Hf -1.768 0.154 1.297
Ce -5.291 0.425 3.880
Ce -3.292 4.099 2.513
Ce -3.012 2.917 6.730
Ce -1.479 -1.050 5.507
Ce 0.533 2.588 4.130
Ce -0.999 6.555 5.353
```

Computed properties:
Crystal system: monoclinic
Final energy in eV per atom: -6.40
Formation energy from raw total energies in kJ/mol of atoms: -84
N(E_F) in states/eV per atom: 2.585